1.
CrFe2Re | SCAN | single point on PBEsol structure

Results
E = -1.155 hartree per atom
Formation energy = 0.02 eV per atom

Cell: 2.502 4.059 4.781 Å, 90.00 99.03 90.00°
Each line ends with the local moment (μB).
Atoms (fractional coordinates):
Cr (0.256, 0.500, 0.762)  -0.45
Fe (0.766, 0.500, 0.239)  2.56
Re (0.487, 0.000, 0.498)  -0.04
Fe (0.991, 0.000, 0.002)  2.53

***

2.
CrFeRe2Sn | SCAN | single point on PBEsol structure

Results
E = -1.516 hartree per atom
Formation energy = 1.67 eV per atom

Cell: 4.409 4.409 4.689 Å, 90.00 90.00 90.00°
Each line ends with the local moment (μB).
Atoms (fractional coordinates):
Cr (0.000, 0.000, 0.000)  0.07
Re (0.500, 0.000, 0.000)  -0.06
Fe (0.500, 0.500, 0.500)  3.32
Re (0.000, 0.500, 0.000)  -0.06
Sn (0.000, 0.000, 0.500)  -0.03

***

3.
Cr2FeReSn | SCAN | single point on PBEsol structure

Results
E = -1.116 hartree per atom
Formation energy = 2.00 eV per atom

Cell: 4.823 4.823 4.891 Å, 90.00 90.00 90.00°
Each line ends with the local moment (μB).
Atoms (fractional coordinates):
Cr (0.500, 0.000, 0.000)  3.92
Sn (0.000, 0.000, 0.000)  0.12
Cr (0.000, 0.500, 0.000)  3.92
Fe (0.500, 0.500, 0.500)  3.48
Re (0.000, 0.000, 0.500)  -1.22

***

4.
Sr2CrFeRe | SCAN | single point on PBEsol structure

Results
E = -1.054 hartree per atom
Formation energy = 1.76 eV per atom

Cell: 3.956 5.676 5.676 Å, 90.00 90.00 90.00°
Each line ends with the local moment (μB).
Atoms (fractional coordinates):
Sr (0.000, 0.500, 0.000)  0.05
Sr (0.000, 0.000, 0.500)  0.05
Re (0.500, 0.500, 0.500)  2.66
Fe (0.500, 0.000, 0.000)  0.81
Cr (0.000, 0.000, 0.000)  2.57

***

5.
CrFe2Rh | SCAN | single point on PBEsol structure

Results
E = -0.814 hartree per atom
Formation energy = -0.03 eV per atom

Cell: 2.749 2.749 6.203 Å, 90.00 90.00 90.00°
Each line ends with the local moment (μB).
Atoms (fractional coordinates):
Fe (0.500, 0.500, 0.229)  3.03
Fe (0.000, 0.000, 0.998)  2.36
Cr (0.500, 0.500, 0.772)  -2.24
Rh (0.000, 0.000, 0.501)  0.39

***

6.
CrFe2Rh | SCAN | single point on PBEsol structure

Results
E = -0.812 hartree per atom
Formation energy = 0.01 eV per atom

Cell: 2.538 3.531 5.696 Å, 90.00 116.45 90.00°
Each line ends with the local moment (μB).
Atoms (fractional coordinates):
Fe (0.265, 0.000, 0.265)  2.56
Cr (0.000, 0.500, 0.500)  -2.72
Rh (0.500, 0.500, 0.000)  0.34
Fe (0.735, 0.000, 0.735)  2.56

***

7.
CrFeRh | SCAN | single point on PBEsol structure

Results
E = -0.862 hartree per atom
Offset from the most stable computed form = 0.00 eV per formula unit
Formation energy = -0.03 eV per atom

Cell: 2.568 3.568 4.461 Å, 113.57 106.73 90.00°
Each line ends with the local moment (μB).
Atoms (fractional coordinates):
Rh (0.334, 0.334, 0.668)  0.36
Cr (0.003, 0.003, 0.006)  -2.34
Fe (0.663, 0.663, 0.326)  2.78

***

8.
Cr2FeRh | SCAN | single point on PBEsol structure

Results
E = -0.813 hartree per atom
Offset from the most stable computed form = 0.00 eV per formula unit
Formation energy = 0.05 eV per atom

Cell: 3.570 3.570 4.404 Å, 113.91 113.91 90.00°
Each line ends with the local moment (μB).
Atoms (fractional coordinates):
Fe (0.500, 0.500, 0.000)  2.24
Cr (0.750, 0.250, 0.500)  -2.55
Rh (0.250, 0.750, 0.500)  -0.22
Cr (0.000, 0.000, 0.000)  1.53